Record 1
DFT (PBE) results for a geometry-optimized Rb2BaTlF structure.

a b c (Å): 8.622 8.622 6.827
angles (deg): 90.00 90.00 90.00
Atoms (fractional coordinates):
1 Rb 0.000 0.500 0.000
2 Rb 0.500 0.000 0.000
3 Ba 0.000 0.000 0.000
4 Tl 0.000 0.000 0.500
5 F 0.500 0.500 0.500

Values from the calculation:
space-group type = P4/mmm (123)
formation energy without anion corrections = -0.08 eV per formula unit
excess energy over the best structure of this formula in the dataset = 1.0660 eV/atom

=====

Record 2
DFT (PBE) results for a geometry-optimized LiNpNi4H8 structure.

a b c (Å): 6.399 6.399 6.399
angles (deg): 46.28 46.28 46.28
Atoms (fractional coordinates):
1 Li 0.000 0.000 0.000
2 Np 0.450 0.450 0.450
3 Ni 0.440 0.440 0.949
4 Ni 0.440 0.949 0.440
5 Ni 0.849 0.849 0.849
6 Ni 0.949 0.440 0.440
7 H 0.200 0.200 0.614
8 H 0.200 0.614 0.200
9 H 0.221 0.221 0.221
10 H 0.242 0.720 0.720
11 H 0.614 0.200 0.200
12 H 0.720 0.242 0.720
13 H 0.720 0.720 0.242
14 H 0.759 0.759 0.759

Values from the calculation:
space-group type = R3m (160)
raw total energy = -64.851 eV for the cell shown

=====

Record 3
DFT (PBE) results for a geometry-optimized TbSmTlPt structure.

a b c (Å): 5.215 5.215 5.215
angles (deg): 60.00 60.00 60.00
Atoms (fractional coordinates):
1 Tb 0.000 0.000 0.000
2 Sm 0.500 0.500 0.500
3 Tl 0.250 0.250 0.250
4 Pt 0.750 0.750 0.750

Values from the calculation:
space-group type = F-43m (216)
formation enthalpy at 0 K = -63.5 kJ/mol of atoms

=====

Record 4
DFT (PBE) results for a geometry-optimized LiNdDyAu structure.

a b c (Å): 5.194 5.194 5.194
angles (deg): 60.00 60.00 60.00
Atoms (fractional coordinates):
1 Li 0.000 0.000 0.000
2 Nd 0.750 0.750 0.750
3 Dy 0.250 0.250 0.250
4 Au 0.500 0.500 0.500

Values from the calculation:
space-group type = F-43m (216)
formation enthalpy at 0 K = -34.7 kJ/mol of atoms
excess energy over the best structure of this formula in the dataset = 0.0190 eV/atom